Computed, not measured: a relaxed structure of Rb2Li3BP4O14 at the PBEsol level of DFT.

DFT total energy: -7.0092 eV/atom
Total magnetic moment: 0.001 Bohr magnetons per cell
Uncorrected formation energy: -2.36 eV/atom

Cell lengths 13.9276, 13.9276, 7.0619 Å; angles 90.00, 90.00, 61.14 degrees
Positions (direct):
Rb1 0.0949 0.4051 0.7500
Rb2 0.1127 0.8873 0.7988
Rb3 0.3873 0.6127 0.2988
Rb4 0.4051 0.0949 0.2500
Rb5 0.5949 0.9051 0.7500
Rb6 0.6127 0.3873 0.7012
Rb7 0.8873 0.1127 0.2012
Rb8 0.9051 0.5949 0.2500
Li1 0.1014 0.6310 0.0235
Li2 0.1186 0.1186 0.0000
Li3 0.1310 0.6014 0.5235
Li4 0.3690 0.8986 0.0235
Li5 0.3814 0.3814 0.5000
Li6 0.3986 0.8690 0.5235
Li7 0.6014 0.1310 0.4765
Li8 0.6186 0.6186 0.5000
Li9 0.6310 0.1014 0.9765
Li10 0.8690 0.3986 0.4765
Li11 0.8814 0.8814 0.0000
Li12 0.8986 0.3690 0.9765
B1 0.1192 0.1192 0.5000
B2 0.3808 0.3808 0.0000
B3 0.6192 0.6192 0.0000
B4 0.8808 0.8808 0.5000
P1 0.0734 0.8011 0.3010
P2 0.0923 0.2854 0.2591
P3 0.1989 0.9266 0.3010
P4 0.2146 0.4077 0.2409
P5 0.2854 0.0923 0.7409
P6 0.3011 0.5734 0.8010
P7 0.4077 0.2146 0.7591
P8 0.4266 0.6989 0.8010
P9 0.5734 0.3011 0.1990
P10 0.5923 0.7854 0.2409
P11 0.6989 0.4266 0.1990
P12 0.7146 0.9077 0.2591
P13 0.7854 0.5923 0.7591
P14 0.8011 0.0734 0.6990
P15 0.9077 0.7146 0.7409
P16 0.9266 0.1989 0.6990
O1 0.0009 0.8332 0.4853
O2 0.0122 0.8668 0.1318
O3 0.0146 0.3684 0.3976
O4 0.0535 0.2867 0.0586
O5 0.1316 0.4854 0.1024
O6 0.1332 0.9878 0.1318
O7 0.1336 0.6776 0.2805
O8 0.1449 0.1627 0.3295
O9 0.1627 0.1449 0.6705
O10 0.1668 0.9991 0.4853
O11 0.1676 0.8324 0.3642
O12 0.1776 0.6336 0.7805
O13 0.2029 0.2971 0.2500
O14 0.2133 0.4465 0.4414
O15 0.2867 0.0535 0.9414
O16 0.2971 0.2029 0.7500
O17 0.3224 0.8664 0.2805
O18 0.3324 0.6676 0.8642
O19 0.3332 0.5009 0.9853
O20 0.3373 0.3551 0.1705
O21 0.3551 0.3373 0.8295
O22 0.3664 0.8224 0.7805
O23 0.3668 0.5122 0.6318
O24 0.3684 0.0146 0.6024
O25 0.4465 0.2133 0.5586
O26 0.4854 0.1316 0.8976
O27 0.4878 0.6332 0.6318
O28 0.4991 0.6668 0.9853
O29 0.5009 0.3332 0.0147
O30 0.5122 0.3668 0.3682
O31 0.5146 0.8684 0.1024
O32 0.5535 0.7867 0.4414
O33 0.6316 0.9854 0.3976
O34 0.6332 0.4878 0.3682
O35 0.6336 0.1776 0.2195
O36 0.6449 0.6627 0.1705
O37 0.6627 0.6449 0.8295
O38 0.6668 0.4991 0.0147
O39 0.6676 0.3324 0.1358
O40 0.6776 0.1336 0.7195
O41 0.7029 0.7971 0.2500
O42 0.7133 0.9465 0.0586
O43 0.7867 0.5535 0.5586
O44 0.7971 0.7029 0.7500
O45 0.8224 0.3664 0.2195
O46 0.8324 0.1676 0.6358
O47 0.8332 0.0009 0.5147
O48 0.8373 0.8551 0.3295
O49 0.8551 0.8373 0.6705
O50 0.8664 0.3224 0.7195
O51 0.8668 0.0122 0.8682
O52 0.8684 0.5146 0.8976
O53 0.9465 0.7133 0.9414
O54 0.9854 0.6316 0.6024
O55 0.9878 0.1332 0.8682
O56 0.9991 0.1668 0.5147



Computed, not measured: a relaxed structure of Li3Pr2B3O9 at the PBEsol level of DFT.

DFT total energy: -7.7124 eV/atom
Total magnetic moment: 0.000 Bohr magnetons per cell
Uncorrected formation energy: -2.74 eV/atom

Cell lengths 5.7540, 14.1477, 9.3404 Å; angles 90.00, 113.02, 90.00 degrees
Positions (direct):
Li1 0.0499 0.1118 0.2083
Li2 0.0499 0.3882 0.7083
Li3 0.4163 0.2154 0.2092
Li4 0.4163 0.2846 0.7092
Li5 0.4234 0.6656 0.4947
Li6 0.4234 0.8344 0.9947
Li7 0.5766 0.1656 0.0053
Li8 0.5766 0.3344 0.5053
Li9 0.5837 0.7154 0.2908
Li10 0.5837 0.7846 0.7908
Li11 0.9501 0.6118 0.2917
Li12 0.9501 0.8882 0.7917
Pr1 0.0580 0.6640 0.6920
Pr2 0.0580 0.8360 0.1920
Pr3 0.3471 0.0022 0.6596
Pr4 0.3471 0.4978 0.1596
Pr5 0.6529 0.5022 0.8404
Pr6 0.6529 0.9978 0.3404
Pr7 0.9420 0.1640 0.8080
Pr8 0.9420 0.3360 0.3080
B1 0.1137 0.6770 0.0177
B2 0.1137 0.8230 0.5177
B3 0.2632 0.0145 0.0132
B4 0.2632 0.4855 0.5132
B5 0.3838 0.1632 0.4723
B6 0.3838 0.3368 0.9723
B7 0.6162 0.6632 0.0277
B8 0.6162 0.8368 0.5277
B9 0.7368 0.5145 0.4868
B10 0.7368 0.9855 0.9868
B11 0.8863 0.1770 0.4823
B12 0.8863 0.3230 0.9823
O1 0.0447 0.5943 0.9312
O2 0.0447 0.9057 0.4312
O3 0.0914 0.7373 0.4437
O4 0.0914 0.7627 0.9437
O5 0.1541 0.0067 0.8529
O6 0.1541 0.4933 0.3529
O7 0.2135 0.6698 0.1786
O8 0.2135 0.8302 0.6786
O9 0.3101 0.1026 0.0817
O10 0.3101 0.3974 0.5817
O11 0.3207 0.2427 0.3795
O12 0.3207 0.2573 0.8795
O13 0.3240 0.5659 0.6048
O14 0.3240 0.9341 0.1048
O15 0.3324 0.0741 0.4063
O16 0.3324 0.4259 0.9063
O17 0.4943 0.1682 0.6327
O18 0.4943 0.3318 0.1327
O19 0.5057 0.6682 0.8673
O20 0.5057 0.8318 0.3673
O21 0.6676 0.5741 0.0937
O22 0.6676 0.9259 0.5937
O23 0.6760 0.0659 0.8952
O24 0.6760 0.4341 0.3952
O25 0.6793 0.7427 0.1205
O26 0.6793 0.7573 0.6205
O27 0.6899 0.6026 0.4183
O28 0.6899 0.8974 0.9183
O29 0.7865 0.1698 0.3214
O30 0.7865 0.3302 0.8214
O31 0.8459 0.5067 0.6471
O32 0.8459 0.9933 0.1471
O33 0.9086 0.2373 0.0563
O34 0.9086 0.2627 0.5563
O35 0.9553 0.0943 0.5688
O36 0.9553 0.4057 0.0688



Computed, not measured: a relaxed structure of Rb2Li5B7O14 at the PBEsol level of DFT.

DFT total energy: -7.1860 eV/atom
Total magnetic moment: 0.121 Bohr magnetons per cell
Uncorrected formation energy: -2.38 eV/atom

Cell lengths 20.5575, 7.0722, 7.0722 Å; angles 143.71, 90.00, 90.00 degrees
Positions (direct):
Rb1 0.1560 0.1894 0.8106
Rb2 0.3440 0.1894 0.8106
Rb3 0.6560 0.8106 0.1894
Rb4 0.8440 0.8106 0.1894
Li1 0.0120 0.0929 0.9252
Li2 0.0633 0.4967 0.5301
Li3 0.2500 0.8255 0.1624
Li4 0.4367 0.4967 0.5301
Li5 0.4880 0.0929 0.9252
Li6 0.5120 0.9252 0.0929
Li7 0.5633 0.5301 0.4967
Li8 0.7500 0.1624 0.8255
Li9 0.9367 0.5301 0.4967
Li10 0.9880 0.9252 0.0929
B1 0.0068 0.6856 0.2866
B2 0.1258 0.9124 0.0591
B3 0.1891 0.4210 0.5597
B4 0.2500 0.5931 0.4077
B5 0.3109 0.4210 0.5597
B6 0.3742 0.9124 0.0591
B7 0.4932 0.6856 0.2866
B8 0.5068 0.2866 0.6856
B9 0.6258 0.0591 0.9124
B10 0.6891 0.5597 0.4210
B11 0.7500 0.4077 0.5931
B12 0.8109 0.5597 0.4210
B13 0.8742 0.0591 0.9124
B14 0.9932 0.2866 0.6856
O1 0.0085 0.3866 0.9504
O2 0.0196 0.6920 0.4748
O3 0.0721 0.0521 0.0977
O4 0.1327 0.5783 0.7797
O5 0.1753 0.0717 0.2803
O6 0.1913 0.5389 0.4579
O7 0.2500 0.4745 0.7036
O8 0.2500 0.6977 0.3122
O9 0.3087 0.5389 0.4579
O10 0.3247 0.0717 0.2803
O11 0.3673 0.5783 0.7797
O12 0.4279 0.0521 0.0977
O13 0.4804 0.6920 0.4748
O14 0.4915 0.3866 0.9504
O15 0.5085 0.9504 0.3866
O16 0.5196 0.4748 0.6920
O17 0.5721 0.0977 0.0521
O18 0.6327 0.7797 0.5783
O19 0.6753 0.2803 0.0717
O20 0.6913 0.4579 0.5389
O21 0.7500 0.3122 0.6977
O22 0.7500 0.7036 0.4745
O23 0.8087 0.4579 0.5389
O24 0.8247 0.2803 0.0717
O25 0.8673 0.7797 0.5783
O26 0.9279 0.0977 0.0521
O27 0.9804 0.4748 0.6920
O28 0.9915 0.9504 0.3866



Computed, not measured: a relaxed structure of RbLi2B3Sb2O9 at the PBEsol level of DFT.

DFT total energy: -6.8290 eV/atom
Total magnetic moment: 0.000 Bohr magnetons per cell
Uncorrected formation energy: -1.98 eV/atom

Cell lengths 6.3447, 5.5705, 12.7961 Å; angles 90.00, 92.04, 90.00 degrees
Positions (direct):
Rb1 0.0000 0.0970 0.2500
Rb2 0.0000 0.9030 0.7500
Li1 0.4778 0.1103 0.1431
Li2 0.4778 0.8897 0.6431
Li3 0.5222 0.1103 0.3569
Li4 0.5222 0.8897 0.8569
B1 0.1670 0.1571 0.9777
B2 0.1670 0.8429 0.4777
B3 0.5000 0.4003 0.7500
B4 0.5000 0.5997 0.2500
B5 0.8330 0.1571 0.5223
B6 0.8330 0.8429 0.0223
Sb1 0.2710 0.3736 0.5357
Sb2 0.2710 0.6264 0.0357
Sb3 0.7290 0.3736 0.9643
Sb4 0.7290 0.6264 0.4643
O1 0.0142 0.2758 0.9144
O2 0.0142 0.7242 0.4144
O3 0.2217 0.2500 0.0751
O4 0.2217 0.7500 0.5751
O5 0.2680 0.0392 0.4397
O6 0.2680 0.9608 0.9397
O7 0.3973 0.2512 0.6731
O8 0.3973 0.7488 0.1731
O9 0.5000 0.3598 0.2500
O10 0.5000 0.6402 0.7500
O11 0.6027 0.2512 0.8269
O12 0.6027 0.7488 0.3269
O13 0.7320 0.0392 0.0603
O14 0.7320 0.9608 0.5603
O15 0.7783 0.2500 0.4249
O16 0.7783 0.7500 0.9249
O17 0.9858 0.2758 0.5856
O18 0.9858 0.7242 0.0856



Computed, not measured: a relaxed structure of Li4B4Sb2SO16 at the PBEsol level of DFT.

DFT total energy: -6.8849 eV/atom
Total magnetic moment: 0.287 Bohr magnetons per cell
Uncorrected formation energy: -1.94 eV/atom

Cell lengths 9.8057, 9.6714, 9.2779 Å; angles 62.28, 60.83, 56.89 degrees
Positions (direct):
Li1 0.0769 0.6731 0.0769
Li2 0.0779 0.6721 0.6721
Li3 0.3269 0.9231 0.3269
Li4 0.3279 0.9221 0.9221
Li5 0.6721 0.0779 0.0779
Li6 0.6731 0.0769 0.6731
Li7 0.9221 0.3279 0.3279
Li8 0.9231 0.3269 0.9231
B1 0.2632 0.6490 0.2981
B2 0.2897 0.2981 0.6490
B3 0.2981 0.2897 0.2632
B4 0.3510 0.7368 0.7103
B5 0.6490 0.2632 0.2897
B6 0.7019 0.7103 0.7368
B7 0.7103 0.7019 0.3510
B8 0.7368 0.3510 0.7019
Sb1 0.0000 0.5000 0.5000
Sb2 0.5000 0.0000 0.5000
Sb3 0.5000 0.5000 0.0000
Sb4 0.5000 0.5000 0.5000
S1 0.1250 0.1250 0.1250
S2 0.8750 0.8750 0.8750
O1 0.0454 0.3165 0.0707
O2 0.0674 0.0707 0.3165
O3 0.0707 0.0674 0.0454
O4 0.1171 0.6462 0.4336
O5 0.1395 0.4265 0.2831
O6 0.1420 0.3140 0.6484
O7 0.2831 0.6509 0.1395
O8 0.3031 0.4336 0.6462
O9 0.3140 0.1420 0.3957
O10 0.3165 0.0454 0.0674
O11 0.3491 0.7169 0.5735
O12 0.3516 0.6043 0.8580
O13 0.3538 0.8829 0.6969
O14 0.3957 0.6484 0.3140
O15 0.4265 0.1395 0.6509
O16 0.4336 0.3031 0.1171
O17 0.5664 0.6969 0.8829
O18 0.5735 0.8605 0.3491
O19 0.6043 0.3516 0.6860
O20 0.6462 0.1171 0.3031
O21 0.6484 0.3957 0.1420
O22 0.6509 0.2831 0.4265
O23 0.6835 0.9546 0.9326
O24 0.6860 0.8580 0.6043
O25 0.6969 0.5664 0.3538
O26 0.7169 0.3491 0.8605
O27 0.8580 0.6860 0.3516
O28 0.8605 0.5735 0.7169
O29 0.8829 0.3538 0.5664
O30 0.9293 0.9326 0.9546
O31 0.9326 0.9293 0.6835
O32 0.9546 0.6835 0.9293



Computed, not measured: a relaxed structure of LiB2SbO6 at the PBEsol level of DFT.

DFT total energy: -7.2001 eV/atom
Total magnetic moment: 0.000 Bohr magnetons per cell
Uncorrected formation energy: -1.99 eV/atom

Cell lengths 5.0713, 9.0496, 11.0049 Å; angles 90.00, 107.46, 90.00 degrees
Positions (direct):
Li1 0.0493 0.0443 0.3860
Li2 0.0493 0.4557 0.8860
Li3 0.9507 0.5443 0.1140
Li4 0.9507 0.9557 0.6140
B1 0.0093 0.1240 0.8616
B2 0.0093 0.3760 0.3616
B3 0.4582 0.1955 0.6067
B4 0.4582 0.3045 0.1067
B5 0.5418 0.6955 0.8933
B6 0.5418 0.8045 0.3933
B7 0.9907 0.6240 0.6384
B8 0.9907 0.8760 0.1384
Sb1 0.0226 0.2046 0.1288
Sb2 0.0226 0.2954 0.6288
Sb3 0.9774 0.7046 0.3712
Sb4 0.9774 0.7954 0.8712
O1 0.0496 0.5087 0.3082
O2 0.0496 0.9913 0.8082
O3 0.0876 0.2475 0.3135
O4 0.0876 0.2525 0.8135
O5 0.1196 0.6335 0.5459
O6 0.1196 0.8665 0.0459
O7 0.2153 0.1111 0.5762
O8 0.2153 0.3889 0.0762
O9 0.2939 0.6516 0.9064
O10 0.2939 0.8484 0.4064
O11 0.4205 0.1652 0.1502
O12 0.4205 0.3348 0.6502
O13 0.5795 0.6652 0.3498
O14 0.5795 0.8348 0.8498
O15 0.7061 0.1516 0.5936
O16 0.7061 0.3484 0.0936
O17 0.7847 0.6111 0.9238
O18 0.7847 0.8889 0.4238
O19 0.8804 0.1335 0.9541
O20 0.8804 0.3665 0.4541
O21 0.9124 0.7475 0.1865
O22 0.9124 0.7525 0.6865
O23 0.9504 0.0087 0.1918
O24 0.9504 0.4913 0.6918



Computed, not measured: a relaxed structure of LiB2SbO5 at the PBEsol level of DFT.

DFT total energy: -7.2438 eV/atom
Total magnetic moment: 0.000 Bohr magnetons per cell
Uncorrected formation energy: -2.04 eV/atom

Cell lengths 7.1485, 7.1485, 9.7867 Å; angles 104.09, 104.09, 106.10 degrees
Positions (direct):
Li1 0.1078 0.8922 0.7500
Li2 0.3325 0.6675 0.2500
Li3 0.6675 0.3325 0.7500
Li4 0.8922 0.1078 0.2500
B1 0.1983 0.6406 0.9742
B2 0.1991 0.2785 0.9080
B3 0.2785 0.1991 0.4080
B4 0.3594 0.8017 0.5258
B5 0.6406 0.1983 0.4742
B6 0.7215 0.8009 0.5920
B7 0.8009 0.7215 0.0920
B8 0.8017 0.3594 0.0258
Sb1 0.1086 0.4157 0.6352
Sb2 0.4157 0.1086 0.1352
Sb3 0.5843 0.8914 0.8648
Sb4 0.8914 0.5843 0.3648
O1 0.1098 0.1917 0.4493
O2 0.1138 0.6391 0.8354
O3 0.1900 0.7262 0.3953
O4 0.1917 0.1098 0.9493
O5 0.1938 0.2581 0.7631
O6 0.2239 0.4670 0.0102
O7 0.2581 0.1938 0.2631
O8 0.2738 0.8100 0.1047
O9 0.3609 0.8862 0.6646
O10 0.4670 0.2239 0.5102
O11 0.5330 0.7761 0.4898
O12 0.6391 0.1138 0.3354
O13 0.7262 0.1900 0.8953
O14 0.7419 0.8062 0.7369
O15 0.7761 0.5330 0.9898
O16 0.8062 0.7419 0.2369
O17 0.8083 0.8902 0.0507
O18 0.8100 0.2738 0.6047
O19 0.8862 0.3609 0.1646
O20 0.8902 0.8083 0.5507



What did the second record say?
Computed, not measured: a relaxed structure of Li3Pr2B3O9 at the PBEsol level of DFT.

DFT total energy: -7.7124 eV/atom
Total magnetic moment: 0.000 Bohr magnetons per cell
Uncorrected formation energy: -2.74 eV/atom

Cell lengths 5.7540, 14.1477, 9.3404 Å; angles 90.00, 113.02, 90.00 degrees
Positions (direct):
Li1 0.0499 0.1118 0.2083
Li2 0.0499 0.3882 0.7083
Li3 0.4163 0.2154 0.2092
Li4 0.4163 0.2846 0.7092
Li5 0.4234 0.6656 0.4947
Li6 0.4234 0.8344 0.9947
Li7 0.5766 0.1656 0.0053
Li8 0.5766 0.3344 0.5053
Li9 0.5837 0.7154 0.2908
Li10 0.5837 0.7846 0.7908
Li11 0.9501 0.6118 0.2917
Li12 0.9501 0.8882 0.7917
Pr1 0.0580 0.6640 0.6920
Pr2 0.0580 0.8360 0.1920
Pr3 0.3471 0.0022 0.6596
Pr4 0.3471 0.4978 0.1596
Pr5 0.6529 0.5022 0.8404
Pr6 0.6529 0.9978 0.3404
Pr7 0.9420 0.1640 0.8080
Pr8 0.9420 0.3360 0.3080
B1 0.1137 0.6770 0.0177
B2 0.1137 0.8230 0.5177
B3 0.2632 0.0145 0.0132
B4 0.2632 0.4855 0.5132
B5 0.3838 0.1632 0.4723
B6 0.3838 0.3368 0.9723
B7 0.6162 0.6632 0.0277
B8 0.6162 0.8368 0.5277
B9 0.7368 0.5145 0.4868
B10 0.7368 0.9855 0.9868
B11 0.8863 0.1770 0.4823
B12 0.8863 0.3230 0.9823
O1 0.0447 0.5943 0.9312
O2 0.0447 0.9057 0.4312
O3 0.0914 0.7373 0.4437
O4 0.0914 0.7627 0.9437
O5 0.1541 0.0067 0.8529
O6 0.1541 0.4933 0.3529
O7 0.2135 0.6698 0.1786
O8 0.2135 0.8302 0.6786
O9 0.3101 0.1026 0.0817
O10 0.3101 0.3974 0.5817
O11 0.3207 0.2427 0.3795
O12 0.3207 0.2573 0.8795
O13 0.3240 0.5659 0.6048
O14 0.3240 0.9341 0.1048
O15 0.3324 0.0741 0.4063
O16 0.3324 0.4259 0.9063
O17 0.4943 0.1682 0.6327
O18 0.4943 0.3318 0.1327
O19 0.5057 0.6682 0.8673
O20 0.5057 0.8318 0.3673
O21 0.6676 0.5741 0.0937
O22 0.6676 0.9259 0.5937
O23 0.6760 0.0659 0.8952
O24 0.6760 0.4341 0.3952
O25 0.6793 0.7427 0.1205
O26 0.6793 0.7573 0.6205
O27 0.6899 0.6026 0.4183
O28 0.6899 0.8974 0.9183
O29 0.7865 0.1698 0.3214
O30 0.7865 0.3302 0.8214
O31 0.8459 0.5067 0.6471
O32 0.8459 0.9933 0.1471
O33 0.9086 0.2373 0.0563
O34 0.9086 0.2627 0.5563
O35 0.9553 0.0943 0.5688
O36 0.9553 0.4057 0.0688